(1)
A plane-wave DFT calculation with PBE was carried out for a relaxed structure of CaHfI2O.

Values from the calculation:
Space group   P4/mmm (123)
Uncorrected energy   -4.31 eV per atom
D(E_F)   0.98 states/eV/atom

abc: 5.994 5.994 4.016
angles: 90.00 90.00 90.00
Sites, in units of the cell vectors:
I  0.000  0.500  0.000
I  0.500  0.000  0.000
Ca  0.000  0.000  0.000
Hf  0.500  0.500  0.500
O  0.000  0.000  0.500

***

(2)
A plane-wave DFT calculation with PBE was carried out for a relaxed structure of SrCaZnSi2O7.

Values from the calculation:
Space group   P2_1 (4)
Uncorrected energy   -6.97 eV per atom
D(E_F)   0.00 states/eV/atom

abc: 8.040 5.143 7.977
angles: 88.99 90.00 90.00
Sites, in units of the cell vectors:
Sr  0.166  0.488  0.088
Sr  0.666  0.512  0.912
Ca  0.819  0.507  0.415
Ca  0.319  0.493  0.585
Zn  0.497  0.996  0.252
Zn  0.997  0.004  0.748
Si  0.641  0.066  0.601
Si  0.141  0.934  0.399
Si  0.361  0.053  0.880
Si  0.861  0.947  0.120
O  0.649  0.753  0.602
O  0.149  0.247  0.398
O  0.361  0.739  0.879
O  0.861  0.261  0.121
O  0.584  0.221  0.429
O  0.084  0.779  0.571
O  0.420  0.193  0.054
O  0.920  0.807  0.946
O  0.691  0.792  0.178
O  0.191  0.208  0.822
O  0.312  0.782  0.339
O  0.812  0.218  0.661
O  0.998  0.827  0.262
O  0.498  0.173  0.738

***

(3)
A plane-wave DFT calculation with PBE was carried out for a relaxed structure of LaPr4Cu4.

Values from the calculation:
Energy of formation   2 meV/atom
Space group   P4_2/n (86)
Uncorrected energy   -4.49 eV per atom
D(E_F)   1.22 states/eV/atom

abc: 6.351 8.769 8.769
angles: 90.00 90.00 90.00
Sites, in units of the cell vectors:
La  0.000  0.000  0.000
La  0.500  0.500  0.500
Pr  0.397  0.301  0.912
Pr  0.897  0.588  0.801
Pr  0.397  0.699  0.088
Pr  0.103  0.199  0.588
Pr  0.603  0.912  0.699
Pr  0.103  0.801  0.412
Pr  0.897  0.412  0.199
Pr  0.603  0.088  0.301
Cu  0.645  0.770  0.371
Cu  0.645  0.230  0.629
Cu  0.145  0.871  0.730
Cu  0.855  0.270  0.871
Cu  0.855  0.730  0.129
Cu  0.355  0.371  0.230
Cu  0.355  0.629  0.770
Cu  0.145  0.129  0.270

***

(4)
A plane-wave DFT calculation with PBE was carried out for a relaxed structure of Er4IrAu.

Values from the calculation:
Energy of formation   -658 meV/atom
Space group   Pnma (62)
Uncorrected energy   -5.72 eV per atom
D(E_F)   1.04 states/eV/atom

abc: 4.703 8.293 15.589
angles: 90.00 90.00 90.00
Sites, in units of the cell vectors:
Er  0.750  0.867  0.664
Er  0.250  0.133  0.336
Er  0.250  0.633  0.164
Er  0.750  0.367  0.836
Er  0.750  0.851  0.434
Er  0.250  0.149  0.566
Er  0.250  0.649  0.934
Er  0.750  0.351  0.066
Er  0.750  0.967  0.920
Er  0.250  0.033  0.080
Er  0.250  0.533  0.420
Er  0.750  0.467  0.580
Er  0.750  0.912  0.226
Er  0.250  0.088  0.774
Er  0.250  0.588  0.726
Er  0.750  0.412  0.274
Ir  0.750  0.691  0.817
Ir  0.250  0.309  0.183
Ir  0.250  0.809  0.317
Ir  0.750  0.191  0.683
Au  0.750  0.238  0.439
Au  0.250  0.762  0.561
Au  0.250  0.262  0.939
Au  0.750  0.738  0.061

***

(5)
A plane-wave DFT calculation with PBE was carried out for a relaxed structure of Dy6Te5Pb.

Values from the calculation:
Space group   C2/m (12)
Uncorrected energy   -5.11 eV per atom
D(E_F)   0.54 states/eV/atom

abc: 7.601 7.571 7.560
angles: 59.96 80.48 70.72
Sites, in units of the cell vectors:
Pb  0.000  0.000  0.000
Te  0.500  0.169  0.662
Te  0.000  0.334  0.332
Te  0.500  0.500  0.000
Te  0.000  0.666  0.668
Te  0.500  0.831  0.338
Dy  0.753  0.081  0.329
Dy  0.247  0.589  0.329
Dy  0.249  0.245  0.000
Dy  0.751  0.755  0.000
Dy  0.753  0.411  0.671
Dy  0.247  0.919  0.671

***

(6)
A plane-wave DFT calculation with PBE was carried out for a relaxed structure of Na4Ac3USe8.

Values from the calculation:
Space group   R-3m (166)
Uncorrected energy   -5.11 eV per atom
D(E_F)   0.27 states/eV/atom

abc: 8.896 8.697 8.894
angles: 120.79 120.01 90.00
Sites, in units of the cell vectors:
Na  0.500  0.000  0.000
Na  0.500  0.000  0.500
Na  0.000  0.000  0.000
Na  0.000  0.000  0.500
Ac  0.500  0.500  0.000
Ac  0.500  0.500  0.500
Ac  0.000  0.500  0.500
U  0.000  0.500  0.000
Se  0.239  0.739  0.000
Se  0.239  0.739  0.479
Se  0.251  0.252  0.501
Se  0.761  0.739  0.000
Se  0.239  0.261  0.000
Se  0.749  0.748  0.499
Se  0.761  0.261  0.521
Se  0.761  0.261  0.000

***

(7)
A plane-wave DFT calculation with PBE was carried out for a relaxed structure of Nb3ZnRh.

Values from the calculation:
Energy of formation   1295 meV/atom
Space group   Pm-3m (221)
Uncorrected energy   -6.47 eV per atom
D(E_F)   1.89 states/eV/atom

abc: 4.651 4.651 4.651
angles: 90.00 90.00 90.00
Sites, in units of the cell vectors:
Nb  0.000  0.500  0.000
Nb  0.000  0.000  0.500
Nb  0.500  0.000  0.000
Rh  0.500  0.500  0.500
Zn  0.000  0.000  0.000

***

(8)
A plane-wave DFT calculation with PBE was carried out for a relaxed structure of Xe.

Values from the calculation:
Energy of formation   4 meV/atom
Space group   Im-3m (229)
Uncorrected energy   -0.03 eV per atom
D(E_F)   0.00 states/eV/atom

abc: 4.699 4.699 4.699
angles: 109.47 109.47 109.47
Sites, in units of the cell vectors:
Xe  0.000  0.000  0.000

***

Q: The lowest uncorrected energy belongs to which entry?
A: SrCaZnSi2O7